Record 1
This record from Alexandria describes a relaxed structure of FeSi2NiO. The functional is PBE with a Hubbard U.

The structure belongs to space group P4/mmm (No. 123); the cell edges are 4.123, 4.123 and 3.908 Å and the angles 90.00°, 90.00° and 90.00°. Symmetry generates all atoms from Fe at (0.000, 0.000, 0.000), Si at (0.000, 0.500, 0.500), Ni at (0.500, 0.500, 0.000) and O at (0.500, 0.500, 0.500).

Record 2
This record from Alexandria describes a relaxed structure of Sr3Fe2NiO9. The functional is PBE with a Hubbard U.

The structure belongs to space group P-3m1 (No. 164); the cell edges are 5.5138, 5.5138 and 6.7644 Å and the angles 90.00°, 90.00° and 120.00°. Symmetry generates all atoms from Sr at (0.0000, 0.0000, 0.0000), Sr at (0.3333, 0.6667, 0.6636), Fe at (0.3333, 0.6667, 0.1689), Ni at (0.0000, 0.0000, 0.5000), O at (0.0000, 0.5000, 0.0000) and O at (0.1681, 0.3362, 0.3307).

Record 3
This record from Alexandria describes a relaxed structure of TaFeNi2O6. The functional is PBE with a Hubbard U.

The structure belongs to space group R3 (No. 146, hexagonal axes); the cell edges are 5.1508, 5.1508 and 14.0549 Å and the angles 90.00°, 90.00° and 120.00°. Symmetry generates all atoms from Ta at (0.0000, 0.0000, 0.0000), Fe at (0.0000, 0.0000, 0.5022), Ni at (0.0000, 0.0000, 0.2955), Ni at (0.0000, 0.0000, 0.7975), O at (0.0340, 0.3470, 0.0662) and O at (0.0396, 0.6830, 0.5676).

The records above give, respectively, calculated volume values of 13.283; 11.874; 10.764 A^3/atom.
The records above give, respectively, E_tot values of -4.51; -6.00; -7.03 eV/atom.